Record 1
DFT (PBE) results for a relaxed NiOs2Pb crystal.

```
NiOs2Pb
1.0
3.981 0.000 0.000
0.000 3.981 0.000
1.990 1.990 9.185
Pb Ni Os
2 2 4
direct
0.000 0.000 0.000
0.750 0.250 0.500
0.500 0.500 0.000
0.250 0.750 0.500
0.540 0.125 0.250
0.210 0.625 0.250
0.375 0.460 0.750
0.875 0.790 0.750
```

Summary:
The value obtained for the formation energy is 0.839 eV per atom. The mass density is 14.75 g cm⁻³. For the final energy, the calculation gives -7.149 eV per atom.

***

Record 2
DFT (PBE) results for a relaxed HfCd2Cu2 crystal.

```
HfCd2Cu2
1.0
3.886 0.000 0.000
0.000 3.886 0.000
1.943 1.943 6.050
Hf Cu Cd
1 2 2
direct
0.000 0.000 0.000
0.406 0.406 0.188
0.594 0.594 0.812
0.750 0.250 0.500
0.250 0.750 0.500
```

Summary:
The value obtained for the formation energy is 0.155 eV per atom. As for the excess energy over the best structure of this formula in the dataset: 53 meV per atom. The mass density is 9.64 g cm⁻³. For the final energy, the calculation gives -3.840 eV per atom.

***

Copy entry 2 word for word.
DFT (PBE) results for a relaxed HfCd2Cu2 crystal.

```
HfCd2Cu2
1.0
3.886 0.000 0.000
0.000 3.886 0.000
1.943 1.943 6.050
Hf Cu Cd
1 2 2
direct
0.000 0.000 0.000
0.406 0.406 0.188
0.594 0.594 0.812
0.750 0.250 0.500
0.250 0.750 0.500
```

Summary:
The value obtained for the formation energy is 0.155 eV per atom. As for the excess energy over the best structure of this formula in the dataset: 53 meV per atom. The mass density is 9.64 g cm⁻³. For the final energy, the calculation gives -3.840 eV per atom.

***

Question: Among the records above, which one has the lowest mass density?
Answer: HfCd2Cu2

***

Question: What is the formula in the first record?
Answer: NiOs2Pb